PBE K2AuO3, optimized geometry; DOS at the Fermi energy = 1.01 states/eV per atom; SG = Immm, No. 71; uncorrected formation energy = -0.74 eV per atom
1.0
3.873 -0.154 -0.454
-0.001 3.945 -1.344
-1.099 0.281 7.288
O K Au
3 2 1
Direct
0.500 0.500 0.000
0.356 0.856 0.712
0.644 0.144 0.288
0.847 0.347 0.694
0.153 0.653 0.306
0.500 0.000 0.000

---

PBE K2BaPt2, optimized geometry; DOS at the Fermi energy = 0.41 states/eV per atom; energy of formation from the pure elements = -166 meV per atom; energy above the most stable polymorph in this dataset = 0.00 eV per formula unit; SG = I4/mmm, No. 139
1.0
4.600 0.000 0.000
0.000 4.600 0.000
2.300 2.300 7.390
K Pt Ba
2 2 1
Direct
0.250 0.750 0.500
0.750 0.250 0.500
0.591 0.591 0.819
0.409 0.409 0.181
0.000 0.000 0.000

---

PBE Bi2CN, optimized geometry; DOS at the Fermi energy = 0.56 states/eV per atom; energy above the most stable polymorph in this dataset = 0.00 eV per formula unit; SG = I-42d, No. 122; uncorrected formation energy = 1.31 eV per atom
1.0
-0.146 2.827 -4.649
-1.063 -4.576 -2.749
-6.297 0.015 -2.979
C N Bi
2 2 4
Direct
0.500 0.500 0.000
0.250 0.750 0.500
0.000 0.000 0.000
0.750 0.250 0.500
0.121 0.625 0.250
0.629 0.125 0.250
0.375 0.371 0.750
0.875 0.879 0.750

---

PBE Pm2ErTaN4, optimized geometry; DOS at the Fermi energy = 0.22 states/eV per atom; SG = P2/m, No. 10; uncorrected formation energy = -1.43 eV per atom
1.0
-1.274 -0.462 -3.096
5.359 -1.292 -2.012
-2.633 -5.045 1.836
Er Pm Ta N
1 2 1 4
Direct
0.500 0.500 0.000
0.500 0.000 0.500
0.000 0.500 0.500
0.000 0.000 0.000
0.500 0.778 0.787
0.500 0.222 0.213
0.000 0.238 0.783
0.000 0.762 0.217

---

PBE Tb3PmSm8, optimized geometry; DOS at the Fermi energy = 1.49 states/eV per atom; energy of formation from the pure elements = 597 meV per atom; SG = I-42m, No. 121
1.0
7.613 -0.489 -3.616
-4.451 7.075 -1.190
-0.308 0.489 8.423
Sm Tb Pm
8 3 1
Direct
0.000 0.624 0.873
0.000 0.873 0.624
0.000 0.248 0.744
0.751 0.127 0.127
0.503 0.256 0.256
0.249 0.376 0.376
0.497 0.752 0.752
0.000 0.744 0.248
0.500 0.250 0.750
0.500 0.750 0.250
0.000 0.500 0.500
0.000 0.000 0.000

---

PBE Li2SiHRh, optimized geometry; DOS at the Fermi energy = 0.13 states/eV per atom; SG = P4/mmm, No. 123
1.0
3.661 0.000 0.000
0.000 3.661 0.000
0.000 0.000 3.900
Li Si Rh H
2 1 1 1
Direct
0.000 0.500 0.000
0.500 0.000 0.000
0.500 0.500 0.500
0.000 0.000 0.500
0.000 0.000 0.000

---

PBE Na2TiMnSb, optimized geometry; DOS at the Fermi energy = 1.02 states/eV per atom; SG = P4/mmm, No. 123; uncorrected formation energy = 0.95 eV per atom
1.0
5.587 0.000 0.000
0.000 4.319 0.000
0.000 0.000 5.587
Na Sb Ti Mn
2 1 1 1
Direct
0.000 0.000 0.500
0.500 0.000 0.000
0.500 0.500 0.500
0.000 0.000 0.000
0.000 0.500 0.000

---

PBE PrDyTm2Te6, optimized geometry; SG = R3, No. 146; uncorrected formation energy = -1.35 eV per atom
1.0
-0.215 3.734 6.779
-6.719 2.740 2.698
-3.459 -3.912 6.466
Te Tm Pr Dy
6 2 1 1
Direct
0.607 0.240 0.245
0.908 0.607 0.245
0.240 0.909 0.245
0.122 0.393 0.749
0.393 0.735 0.749
0.735 0.122 0.749
0.509 0.509 0.472
0.007 0.007 0.980
0.818 0.818 0.546
0.322 0.322 0.035

---

PBE Ta3PIr, optimized geometry; DOS at the Fermi energy = 1.27 states/eV per atom; energy of formation from the pure elements = 1215 meV per atom; energy above the most stable polymorph in this dataset = 4.26 eV per formula unit; SG = Pm-3m, No. 221
1.0
-2.387 3.052 -2.912
1.749 -2.329 -3.874
-3.838 -2.959 0.045
Ta P Ir
3 1 1
Direct
0.000 0.000 0.500
0.500 0.000 0.000
0.000 0.500 0.000
0.500 0.500 0.500
0.000 0.000 0.000

---

PBE IrC2I2, optimized geometry; DOS at the Fermi energy = 0.52 states/eV per atom; energy above the most stable polymorph in this dataset = 0.27 eV per formula unit; SG = P4/mbm, No. 127; uncorrected formation energy = 1.60 eV per atom
1.0
5.703 0.000 0.000
0.000 5.703 0.000
0.000 0.000 8.297
I C Ir
4 4 2
Direct
0.814 0.314 0.500
0.186 0.686 0.500
0.314 0.186 0.500
0.686 0.814 0.500
0.750 0.250 0.000
0.250 0.250 0.000
0.250 0.750 0.000
0.750 0.750 0.000
0.000 0.000 0.000
0.500 0.500 0.000

---

PBE Ac2Zn3InPt4, optimized geometry; DOS at the Fermi energy = 0.45 states/eV per atom; energy of formation from the pure elements = -797 meV per atom; SG = P-4m2, No. 115
1.0
-1.469 -3.551 2.247
4.126 -0.767 1.485
-1.937 6.247 8.607
Zn Ac In Pt
3 2 1 4
Direct
0.500 0.000 0.880
0.000 0.000 0.500
0.000 0.500 0.120
0.000 0.500 0.768
0.500 0.000 0.232
0.500 0.500 0.500
0.500 0.500 0.000
0.000 0.500 0.355
0.500 0.000 0.645
0.000 0.000 0.000

---

PBE LaZn2Mo, optimized geometry; DOS at the Fermi energy = 0.69 states/eV per atom; energy of formation from the pure elements = 210 meV per atom; energy above the most stable polymorph in this dataset = 0.44 eV per formula unit; SG = Pm, No. 6
1.0
-0.860 -4.352 0.019
0.816 -0.173 -2.814
5.957 -1.172 0.978
Zn La Mo
2 1 1
Direct
0.500 0.105 0.208
0.000 0.153 0.965
0.000 0.514 0.489
0.500 0.728 0.838

---

no.,VASP energy (eV/atom)
1,-4.1299
2,-3.4061
3,-5.0224
4,-8.8359
5,-4.1022
6,-4.3766
7,-3.8153
8,-5.0652
9,-8.7511
10,-4.4814
11,-4.6910
12,-4.3662